# 1
Entry from Alexandria: a geometry-optimized Ti6AlPd5 structure (PBE).

POSCAR file:
```
Ti6AlPd5
1.0
-1.976 4.013 5.911
1.976 -4.013 5.911
1.976 4.013 -5.911
Ti Al Pd
6 1 5
Direct
0.077 0.331 0.746 Ti
0.240 0.000 0.240 Ti
0.415 0.669 0.746 Ti
0.585 0.331 0.254 Ti
0.760 0.000 0.760 Ti
0.923 0.669 0.254 Ti
0.500 0.500 0.000 Al
0.000 0.500 0.500 Pd
0.171 0.171 0.000 Pd
0.343 0.843 0.500 Pd
0.657 0.157 0.500 Pd
0.829 0.829 0.000 Pd
```

crystal system: orthorhombic
total magnetization: 0.93 μB/cell
calculated formation energy: -513 meV/atom
electronic total energy: -83.23 eV for the cell shown

# 2
Entry from Alexandria: a geometry-optimized NaPrPb2Cl8 structure (PBE).

POSCAR file:
```
NaPrPb2Cl8
1.0
6.570 0.000 0.000
0.000 8.729 0.000
-0.049 0.000 6.798
Na Pr Pb Cl
1 1 2 8
Direct
0.000 0.000 0.000 Na
0.000 0.500 0.000 Pr
0.500 0.240 0.500 Pb
0.500 0.760 0.500 Pb
0.223 0.259 0.160 Cl
0.223 0.741 0.160 Cl
0.255 0.500 0.674 Cl
0.273 0.000 0.669 Cl
0.727 0.000 0.331 Cl
0.745 0.500 0.326 Cl
0.777 0.259 0.840 Cl
0.777 0.741 0.840 Cl
```

crystal system: monoclinic
total magnetization: 0.00 μB/cell
ΔE_f (raw): -1628 meV/atom
electronic total energy: -47.82 eV for the cell shown

# 3
Entry from Alexandria: a geometry-optimized Zr2BeAs structure (PBE).

POSCAR file:
```
Zr2BeAs
1.0
3.666 0.000 0.000
0.000 1.881 4.994
0.000 -1.881 4.994
Zr Be As
2 1 1
Direct
0.000 0.000 0.000 Zr
0.500 0.299 0.299 Zr
0.000 0.728 0.728 Be
0.500 0.586 0.586 As
```

crystal system: orthorhombic
total magnetization: 0.00 μB/cell
calculated formation energy: -775 meV/atom
electronic total energy: -28.57 eV for the cell shown

# 4
Entry from Alexandria: a geometry-optimized Li2Ca5Cd structure (PBE).

POSCAR file:
```
Li2Ca5Cd
1.0
7.061 0.000 0.000
0.000 13.578 0.000
0.000 0.000 5.552
Li Ca Cd
4 10 2
Direct
0.149 0.134 0.000 Li
0.351 0.634 0.000 Li
0.649 0.366 0.000 Li
0.851 0.866 0.000 Li
0.000 0.000 0.500 Ca
0.136 0.725 0.500 Ca
0.165 0.393 0.000 Ca
0.335 0.893 0.000 Ca
0.364 0.225 0.500 Ca
0.500 0.500 0.500 Ca
0.636 0.775 0.500 Ca
0.665 0.107 0.000 Ca
0.835 0.607 0.000 Ca
0.864 0.275 0.500 Ca
0.000 0.500 0.500 Cd
0.500 0.000 0.500 Cd
```

crystal system: orthorhombic
total magnetization: 0.00 μB/cell
calculated formation energy: -64 meV/atom
electronic total energy: -30.52 eV for the cell shown